No. 1
Computed, not measured: a relaxed CoTcNF2 crystal at the PBE with a Hubbard U level of DFT.

Cell and atoms, written as extended XYZ:
```
5
Lattice="4.189 0.000 0.000 0.000 4.189 0.000 0.000 0.000 3.798" Properties=species:S:1:pos:R:3 pbc="T T T"
N 0.000 0.000 1.899
Co 2.094 2.094 1.899
Tc 0.000 0.000 0.000
F 0.000 2.094 0.000
F 2.094 0.000 0.000
```

Calculated values
Its total energy is -5.79 eV/atom. Its spin magnetization is 1.64 μB/f.u.

No. 2
Computed, not measured: a relaxed AlNiF5 crystal at the PBE with a Hubbard U level of DFT.

Cell and atoms, written as extended XYZ:
```
7
Lattice="2.158 4.219 2.068 -4.571 2.373 0.459 2.585 -4.027 1.960" Properties=species:S:1:pos:R:3 pbc="T T T"
Al -1.206 3.296 1.263
Ni 0.000 0.000 0.000
F 0.207 3.353 2.464
F -0.035 -0.788 2.023
F -1.788 4.886 1.873
F -0.625 1.706 0.654
F 2.372 0.096 2.014
```

Calculated values
Its total energy is -5.15 eV/atom. Its spin magnetization is 2.03 μB/f.u.